(1)
Here is a relaxed structure of BaCrSb4 from Alexandria via LeMat-Bulk. Energies are from GGA-PBE.

Output
Formation energy without anion corrections: 94.4 meV per atom
Total magnetization: 5.21 μB per cell

The structure in POSCAR format:
```
BaCrSb4
1.0
0.000 4.521 4.521
4.521 0.000 4.521
4.521 4.521 0.000
Ba Cr Sb
1 1 4
Direct
0.000 0.000 0.000
0.750 0.750 0.750
0.377 0.377 0.377
0.377 0.377 0.870
0.377 0.870 0.377
0.870 0.377 0.377
```


(2)
Here is a relaxed structure of Tb6Tm2Mg from Alexandria via LeMat-Bulk. Energies are from GGA-PBE.

Output
Distance to the lowest polymorph of the same formula: 58 meV/atom
Total magnetization: 0.00 μB per cell
Energy of formation from the pure elements: 0.081 eV per atom

The structure in POSCAR format:
```
Tb6Tm2Mg
1.0
10.384 -4.672 0.000
10.384 4.672 0.000
-1.636 0.000 5.662
Tb Tm Mg
12 4 2
Direct
0.003 0.155 0.422
0.081 0.580 0.079
0.155 0.003 0.922
0.341 0.498 0.753
0.420 0.919 0.421
0.498 0.341 0.253
0.502 0.659 0.747
0.580 0.081 0.579
0.659 0.502 0.247
0.845 0.997 0.078
0.919 0.420 0.921
0.997 0.845 0.578
0.169 0.330 0.454
0.330 0.169 0.954
0.670 0.831 0.046
0.831 0.670 0.546
0.254 0.746 0.250
0.746 0.254 0.750
```


(3)
Here is a relaxed structure of Cd2Ag6Hg from Alexandria via LeMat-Bulk. Energies are from GGA-PBE.

Output
Distance to the lowest polymorph of the same formula: 0 meV/atom
Total magnetization: 0.00 μB per cell
Energy of formation from the pure elements: -0.006 eV per atom

The structure in POSCAR format:
```
Cd2Ag6Hg
1.0
5.024 0.000 0.000
0.774 5.241 0.000
1.084 1.828 6.513
Cd Ag Hg
2 6 1
Direct
0.120 0.061 0.263
0.880 0.939 0.737
0.228 0.615 0.048
0.334 0.173 0.830
0.441 0.728 0.612
0.559 0.272 0.388
0.666 0.827 0.170
0.772 0.385 0.952
0.000 0.500 0.500
```


(4)
Here is a relaxed structure of Cd2Te2I from Alexandria via LeMat-Bulk. Energies are from GGA-PBE.

Output
Formation energy without anion corrections: -10.0 meV per atom
Distance to the lowest polymorph of the same formula: 147 meV/atom
Total magnetization: 0.00 μB per cell

The structure in POSCAR format:
```
Cd2Te2I
1.0
9.191 0.000 0.000
0.000 9.191 0.000
0.000 0.000 3.440
Cd Te I
4 4 2
Direct
0.158 0.342 0.000
0.342 0.842 0.000
0.658 0.158 0.000
0.842 0.658 0.000
0.143 0.643 0.500
0.357 0.143 0.500
0.643 0.857 0.500
0.857 0.357 0.500
0.000 0.000 0.000
0.500 0.500 0.000
```


(5)
Here is a relaxed structure of LaCr2Se from Alexandria via LeMat-Bulk. Energies are from GGA-PBE.

Output
Formation energy without anion corrections: 2.0 meV per atom
Total magnetization: 0.00 μB per cell

The structure in POSCAR format:
```
LaCr2Se
1.0
2.096 1.210 5.316
-2.096 1.210 5.316
0.000 -2.420 5.316
La Cr Se
1 2 1
Direct
0.000 0.000 0.000
0.180 0.180 0.180
0.820 0.820 0.820
0.500 0.500 0.500
```


(6)
Here is a relaxed structure of La8IrOs3I3 from Alexandria via LeMat-Bulk. Energies are from GGA-PBE.

Output
Formation energy without anion corrections: -652.1 meV per atom
Total magnetization: 0.00 μB per cell

The structure in POSCAR format:
```
La8IrOs3I3
1.0
7.355 -4.245 0.000
7.355 4.245 0.000
-4.912 0.000 8.289
La Ir Os I
8 1 3 3
Direct
0.223 0.728 0.679
0.228 0.228 0.683
0.272 0.272 0.321
0.272 0.777 0.321
0.728 0.223 0.679
0.728 0.728 0.679
0.772 0.772 0.317
0.777 0.272 0.321
0.500 0.500 0.500
0.000 0.000 0.500
0.000 0.500 0.500
0.500 0.000 0.500
0.000 0.500 0.000
0.500 0.000 0.000
0.500 0.500 0.000
```


(7)
Here is a relaxed structure of Tm4InAu2 from Alexandria via LeMat-Bulk. Energies are from GGA-PBE.

Output
Distance to the lowest polymorph of the same formula: 98 meV/atom
Total magnetization: 0.00 μB per cell
Energy of formation from the pure elements: -0.456 eV per atom

The structure in POSCAR format:
```
Tm4InAu2
1.0
2.415 1.394 9.534
-2.415 1.394 9.534
0.000 -2.789 9.534
Tm In Au
4 1 2
Direct
0.117 0.117 0.117
0.297 0.297 0.297
0.703 0.703 0.703
0.883 0.883 0.883
0.500 0.500 0.500
0.399 0.399 0.399
0.601 0.601 0.601
```


(8)
Here is a relaxed structure of BeV2Cl from Alexandria via LeMat-Bulk. Energies are from GGA-PBE.

Output
Formation energy without anion corrections: 557.4 meV per atom
Distance to the lowest polymorph of the same formula: 0 meV/atom
Total magnetization: 0.00 μB per cell

The structure in POSCAR format:
```
BeV2Cl
1.0
0.000 2.909 2.909
2.909 0.000 2.909
2.909 2.909 0.000
Be V Cl
1 2 1
Direct
0.000 0.000 0.000
0.250 0.250 0.250
0.750 0.750 0.750
0.500 0.500 0.500
```


Number 1: density 6.08 g/cm³. Number 2: density 7.95 g/cm³. Number 3: density 10.39 g/cm³. Number 4: density 6.94 g/cm³. Number 5: density 6.61 g/cm³. Number 6: density 7.23 g/cm³. Number 7: density 10.21 g/cm³. Number 8: density 4.94 g/cm³.